Ac2PrDyEr | PBE | relaxed Values from VASP.

Geometry as Quantum ESPRESSO input:
```
&SYSTEM
  ibrav = 0, nat = 10, ntyp = 4
/
ATOMIC_SPECIES
Ac 227.00 Ac.upf
Pr 140.91 Pr.upf
Dy 162.50 Dy.upf
Er 167.26 Er.upf
CELL_PARAMETERS angstrom
-2.754 -5.950 -1.264
-0.300 -1.743 8.861
-5.885 2.655 0.323
ATOMIC_POSITIONS angstrom
Ac -6.591 -3.483 5.564
Ac -6.470 -2.777 1.977
Ac -2.469 -2.261 5.944
Ac -2.347 -1.555 2.357
Pr -3.065 -2.779 -0.650
Pr -5.574 -0.516 -0.290
Dy -5.079 0.007 4.437
Dy -3.860 -5.045 3.484
Er 0.000 0.000 0.000
Er -2.943 1.328 0.162
```

## Properties
- SG = No. 51
- E_form (meV per atom) = 268
- total DFT energy (no corrections) (eV/atom) = -4.16